[1]
This record from Alexandria via LeMat-Bulk describes a relaxed CaSi2N crystal. The functional is PBE.

Output
formation energy without anion corrections: 0.15 eV per atom
final energy: -5.139 eV/atom
symmetry: I-42d (122)

a = 5.693 Å, b = 5.693 Å, c = 5.693 Å
α = 112.81°, β = 112.81°, γ = 102.98°
Fractional coordinates of all 8 atoms:
Ca1 0.000 0.000 0.000
Ca2 0.750 0.250 0.500
Si1 0.253 0.625 0.128
Si2 0.375 0.503 0.628
Si3 0.497 0.125 0.872
Si4 0.875 0.747 0.372
N1 0.250 0.750 0.500
N2 0.500 0.500 0.000


[2]
This record from Alexandria via LeMat-Bulk describes a relaxed Ca2SiN crystal. The functional is PBE.

Output
formation energy without anion corrections: 0.27 eV per atom
final energy: -4.166 eV/atom
symmetry: Fm-3m (225)

a = 4.818 Å, b = 4.818 Å, c = 4.818 Å
α = 60.00°, β = 60.00°, γ = 60.00°
Fractional coordinates of all 4 atoms:
Ca1 0.250 0.250 0.250
Ca2 0.750 0.750 0.750
Si1 0.000 0.000 0.000
N1 0.500 0.500 0.500


[3]
This record from Alexandria via LeMat-Bulk describes a relaxed Ca4SiSn3N8 crystal. The functional is PBE.

Output
formation energy without anion corrections: -0.46 eV per atom
final energy: -6.212 eV/atom
symmetry: R-3m (166)

a = 6.672 Å, b = 6.672 Å, c = 6.672 Å
α = 58.67°, β = 58.67°, γ = 58.67°
Fractional coordinates of all 16 atoms:
Ca1 0.000 0.000 0.000
Ca2 0.000 0.500 0.500
Ca3 0.500 0.000 0.500
Ca4 0.500 0.500 0.000
Si1 0.500 0.500 0.500
Sn1 0.000 0.000 0.500
Sn2 0.000 0.500 0.000
Sn3 0.500 0.000 0.000
N1 0.239 0.239 0.239
N2 0.258 0.725 0.725
N3 0.275 0.275 0.742
N4 0.275 0.742 0.275
N5 0.725 0.258 0.725
N6 0.725 0.725 0.258
N7 0.742 0.275 0.275
N8 0.761 0.761 0.761


[4]
This record from Alexandria via LeMat-Bulk describes a relaxed CaTb2SiN4 crystal. The functional is PBE.

Output
formation energy without anion corrections: -1.30 eV per atom
final energy: -7.551 eV/atom
symmetry: Cmcm (63)

a = 6.106 Å, b = 6.106 Å, c = 11.685 Å
α = 90.00°, β = 90.00°, γ = 148.25°
Fractional coordinates of all 16 atoms:
Ca1 0.100 0.900 0.750
Ca2 0.900 0.100 0.250
Tb1 0.369 0.631 0.540
Tb2 0.369 0.631 0.960
Tb3 0.631 0.369 0.040
Tb4 0.631 0.369 0.460
Si1 0.180 0.820 0.250
Si2 0.820 0.180 0.750
N1 0.000 0.000 0.000
N2 0.000 0.000 0.500
N3 0.263 0.737 0.128
N4 0.263 0.737 0.372
N5 0.404 0.596 0.750
N6 0.596 0.404 0.250
N7 0.737 0.263 0.628
N8 0.737 0.263 0.872


[5]
This record from Alexandria via LeMat-Bulk describes a relaxed CaTbSiN3 crystal. The functional is PBE.

Output
formation energy without anion corrections: -1.01 eV per atom
final energy: -7.187 eV/atom
symmetry: C2/m (12)

a = 6.505 Å, b = 6.505 Å, c = 6.926 Å
α = 105.38°, β = 105.38°, γ = 33.44°
Fractional coordinates of all 12 atoms:
Ca1 0.151 0.151 0.073
Ca2 0.849 0.849 0.927
Tb1 0.151 0.151 0.579
Tb2 0.849 0.849 0.421
Si1 0.498 0.498 0.746
Si2 0.502 0.502 0.254
N1 0.003 0.003 0.264
N2 0.347 0.347 0.667
N3 0.352 0.352 0.184
N4 0.648 0.648 0.816
N5 0.653 0.653 0.333
N6 0.997 0.997 0.736


[6]
This record from Alexandria via LeMat-Bulk describes a relaxed CaSiTe2N crystal. The functional is PBE.

Output
formation energy without anion corrections: 0.93 eV per atom
final energy: -3.477 eV/atom
symmetry: P4/mmm (123)
distance to the lowest polymorph of the same formula: 1.2454 eV per atom

a = 5.895 Å, b = 5.895 Å, c = 4.417 Å
α = 90.00°, β = 90.00°, γ = 90.00°
Fractional coordinates of all 5 atoms:
Ca1 0.000 0.000 0.000
Si1 0.500 0.500 0.500
Te1 0.000 0.500 0.000
Te2 0.500 0.000 0.000
N1 0.000 0.000 0.500


[7]
This record from Alexandria via LeMat-Bulk describes a relaxed CaSiTe2N crystal. The functional is PBE.

Output
formation energy without anion corrections: -0.32 eV per atom
final energy: -4.723 eV/atom
symmetry: P4/mmm (123)
distance to the lowest polymorph of the same formula: 0.0000 eV per atom

a = 5.731 Å, b = 5.731 Å, c = 3.393 Å
α = 90.00°, β = 90.00°, γ = 90.00°
Fractional coordinates of all 5 atoms:
Ca1 0.000 0.000 0.000
Si1 0.500 0.500 0.500
Te1 0.000 0.500 0.500
Te2 0.500 0.000 0.500
N1 0.500 0.500 0.000


[8]
This record from Alexandria via LeMat-Bulk describes a relaxed Ca3U3SiN8 crystal. The functional is PBE.

Output
formation energy without anion corrections: -1.01 eV per atom
final energy: -8.474 eV/atom
symmetry: R-3m (166)

a = 6.897 Å, b = 6.897 Å, c = 6.897 Å
α = 57.91°, β = 57.91°, γ = 57.91°
Fractional coordinates of all 15 atoms:
Ca1 0.000 0.500 0.500
Ca2 0.500 0.000 0.500
Ca3 0.500 0.500 0.000
U1 0.000 0.000 0.500
U2 0.000 0.500 0.000
U3 0.500 0.000 0.000
Si1 0.500 0.500 0.500
N1 0.244 0.244 0.244
N2 0.262 0.713 0.713
N3 0.287 0.287 0.738
N4 0.287 0.738 0.287
N5 0.713 0.262 0.713
N6 0.713 0.713 0.262
N7 0.738 0.287 0.287
N8 0.756 0.756 0.756


[9]
This record from Alexandria via LeMat-Bulk describes a relaxed CaYSiN3 crystal. The functional is PBE.

Output
formation energy without anion corrections: -1.01 eV per atom
final energy: -7.491 eV/atom
symmetry: C2/m (12)

a = 6.499 Å, b = 6.499 Å, c = 6.909 Å
α = 105.32°, β = 105.32°, γ = 33.41°
Fractional coordinates of all 12 atoms:
Ca1 0.151 0.151 0.073
Ca2 0.849 0.849 0.927
Y1 0.152 0.152 0.579
Y2 0.848 0.848 0.421
Si1 0.498 0.498 0.746
Si2 0.502 0.502 0.254
N1 0.003 0.003 0.265
N2 0.347 0.347 0.667
N3 0.352 0.352 0.185
N4 0.648 0.648 0.815
N5 0.653 0.653 0.333
N6 0.997 0.997 0.735


[10]
This record from Alexandria via LeMat-Bulk describes a relaxed CaY2SiN4 crystal. The functional is PBE.

Output
formation energy without anion corrections: -1.32 eV per atom
final energy: -8.027 eV/atom
symmetry: Cmcm (63)

a = 6.076 Å, b = 6.076 Å, c = 11.651 Å
α = 90.00°, β = 90.00°, γ = 148.23°
Fractional coordinates of all 16 atoms:
Ca1 0.099 0.901 0.750
Ca2 0.901 0.099 0.250
Y1 0.369 0.631 0.540
Y2 0.369 0.631 0.960
Y3 0.631 0.369 0.040
Y4 0.631 0.369 0.460
Si1 0.179 0.821 0.250
Si2 0.821 0.179 0.750
N1 0.000 0.000 0.000
N2 0.000 0.000 0.500
N3 0.262 0.738 0.128
N4 0.262 0.738 0.372
N5 0.406 0.594 0.750
N6 0.594 0.406 0.250
N7 0.738 0.262 0.628
N8 0.738 0.262 0.872


[11]
This record from Alexandria via LeMat-Bulk describes a relaxed Ca4Zr3SiN8 crystal. The functional is PBE.

Output
formation energy without anion corrections: -1.19 eV per atom
final energy: -7.797 eV/atom
symmetry: C2/m (12)

a = 6.536 Å, b = 6.536 Å, c = 6.736 Å
α = 119.01°, β = 119.01°, γ = 59.93°
Fractional coordinates of all 16 atoms:
Ca1 0.000 0.000 0.000
Ca2 0.000 0.500 0.000
Ca3 0.500 0.000 0.000
Ca4 0.500 0.500 0.000
Zr1 0.000 0.000 0.500
Zr2 0.000 0.500 0.500
Zr3 0.500 0.000 0.500
Si1 0.500 0.500 0.500
N1 0.239 0.239 0.718
N2 0.254 0.727 0.708
N3 0.271 0.271 0.290
N4 0.273 0.746 0.292
N5 0.727 0.254 0.708
N6 0.729 0.729 0.710
N7 0.746 0.273 0.292
N8 0.761 0.761 0.282


[12]
This record from Alexandria via LeMat-Bulk describes a relaxed CaSm3N crystal. The functional is PBE.

Output
formation energy without anion corrections: -0.44 eV per atom
final energy: -5.339 eV/atom
symmetry: Pm-3m (221)

a = 5.129 Å, b = 5.129 Å, c = 5.129 Å
α = 90.00°, β = 90.00°, γ = 90.00°
Fractional coordinates of all 5 atoms:
Ca1 0.000 0.000 0.000
Sm1 0.000 0.500 0.500
Sm2 0.500 0.000 0.500
Sm3 0.500 0.500 0.000
N1 0.500 0.500 0.500